#a
The following is a GGA-PBE calculation of crystalline CaMo3Ru at its relaxed geometry, from the Alexandria database.

Cell: 4.7980 4.7980 4.7980 Å, 90.00 90.00 90.00°
Each line ends with the local moment (μB).
Positions (direct):
Ru 0.0000 0.0000 0.0000  -0.01
Mo 0.0000 0.5000 0.0000  0.62
Mo 0.0000 0.0000 0.5000  0.69
Mo 0.5000 0.0000 0.0000  0.45
Ca 0.5000 0.5000 0.5000  0.04

---

#b
The following is a GGA-PBE calculation of crystalline CaMo3Ru at its relaxed geometry, from the Alexandria database.

Cell: 4.5051 4.5051 4.5051 Å, 90.00 90.00 90.00°
Positions (direct):
Ru 0.5000 0.5000 0.5000
Mo 0.0000 0.5000 0.0000
Mo 0.0000 0.0000 0.5000
Mo 0.5000 0.0000 0.0000
Ca 0.0000 0.0000 0.0000

---

Quick ranking, most stable first: #a, #b.

---

#a
The following is a GGA-PBE calculation of crystalline CaMo3S at its relaxed geometry, from the Alexandria database.

Cell: 4.6796 4.6796 4.6796 Å, 90.00 90.00 90.00°
Positions (direct):
S 0.5000 0.5000 0.5000
Mo 0.0000 0.5000 0.0000
Mo 0.0000 0.0000 0.5000
Mo 0.5000 0.0000 0.0000
Ca 0.0000 0.0000 0.0000

---

#b
The following is a GGA-PBE calculation of crystalline CaMo3S at its relaxed geometry, from the Alexandria database.

Cell: 4.5511 4.5511 4.5511 Å, 90.00 90.00 90.00°
Positions (direct):
S 0.0000 0.0000 0.0000
Mo 0.0000 0.5000 0.0000
Mo 0.0000 0.0000 0.5000
Mo 0.5000 0.0000 0.0000
Ca 0.5000 0.5000 0.5000

---

Quick ranking, most stable first: #b, #a.

---

#a
The following is a GGA-PBE calculation of crystalline CaMoS2 at its relaxed geometry, from the Alexandria database.

Cell: 4.5196 4.5196 4.5196 Å, 60.00 60.00 60.00°
Positions (direct):
S 0.2500 0.2500 0.2500
S 0.7500 0.7500 0.7500
Mo 0.5000 0.5000 0.5000
Ca 0.0000 0.0000 0.0000

---

#b
The following is a GGA-PBE calculation of crystalline CaMoS2 at its relaxed geometry, from the Alexandria database.

Cell: 5.6320 5.6320 7.2925 Å, 67.28 67.28 90.00°
Positions (direct):
S 0.6912 0.1250 0.2500
S 0.0588 0.6250 0.2500
S 0.3750 0.3088 0.7500
S 0.8750 0.9412 0.7500
Mo 0.0000 0.0000 0.0000
Mo 0.7500 0.2500 0.5000
Ca 0.5000 0.5000 0.0000
Ca 0.2500 0.7500 0.5000

---

#c
The following is a GGA-PBE calculation of crystalline CaMoS2 at its relaxed geometry, from the Alexandria database.

Cell: 8.2282 8.2282 8.2282 Å, 26.91 26.91 26.91°
Each line ends with the local moment (μB).
Positions (direct):
S 0.9034 0.9034 0.9034  -0.04
S 0.0966 0.0966 0.0966  -0.04
Mo 0.0000 0.0000 0.0000  2.11
Ca 0.5000 0.5000 0.5000  0.02

---

#d
The following is a GGA-PBE calculation of crystalline CaMoS2 at its relaxed geometry, from the Alexandria database.

Cell: 8.7345 8.7345 8.7345 Å, 22.62 22.62 22.62°
Positions (direct):
S 0.8918 0.8918 0.8918
S 0.1082 0.1082 0.1082
Mo 0.5000 0.5000 0.5000
Ca 0.0000 0.0000 0.0000

---

Quick ranking, most stable first: #b, #a, #d, #c.

---

#a
The following is a GGA-PBE calculation of crystalline Ca2Mo2S at its relaxed geometry, from the Alexandria database.

Cell: 3.5571 3.5571 9.3350 Å, 79.02 79.02 90.00°
Positions (direct):
S 0.0000 0.0000 0.0000
Mo 0.7500 0.2500 0.5000
Mo 0.2500 0.7500 0.5000
Ca 0.4078 0.4078 0.1844
Ca 0.5922 0.5922 0.8156

---

#b
The following is a GGA-PBE calculation of crystalline Ca2Mo2S at its relaxed geometry, from the Alexandria database.

Cell: 7.4054 7.4054 5.0237 Å, 90.00 90.00 90.00°
Positions (direct):
S 0.0000 0.0000 0.0000
S 0.5000 0.5000 0.0000
Mo 0.0989 0.5989 0.5000
Mo 0.5989 0.9011 0.5000
Mo 0.9011 0.4011 0.5000
Mo 0.4011 0.0989 0.5000
Ca 0.3242 0.8242 0.0000
Ca 0.8242 0.6758 0.0000
Ca 0.6758 0.1758 0.0000
Ca 0.1758 0.3242 0.0000

---

Quick ranking, most stable first: #a, #b.

---

#a
The following is a GGA-PBE calculation of crystalline CaSbMo3 at its relaxed geometry, from the Alexandria database.

Cell: 4.7031 4.7031 4.7031 Å, 90.00 90.00 90.00°
Positions (direct):
Sb 0.5000 0.5000 0.5000
Mo 0.0000 0.5000 0.0000
Mo 0.0000 0.0000 0.5000
Mo 0.5000 0.0000 0.0000
Ca 0.0000 0.0000 0.0000

---

#b
The following is a GGA-PBE calculation of crystalline CaSbMo3 at its relaxed geometry, from the Alexandria database.

Cell: 4.9904 4.9904 4.9904 Å, 90.00 90.00 90.00°
Positions (direct):
Sb 0.0000 0.0000 0.0000
Mo 0.0000 0.5000 0.0000
Mo 0.0000 0.0000 0.5000
Mo 0.5000 0.0000 0.0000
Ca 0.5000 0.5000 0.5000

---

Quick ranking, most stable first: #b, #a.

---

#a
The following is a GGA-PBE calculation of crystalline CaSbTe2Mo at its relaxed geometry, from the Alexandria database.

Cell: 5.5057 5.5057 5.1778 Å, 90.00 90.00 90.00°
Each line ends with the local moment (μB).
Positions (direct):
Sb 0.0000 0.0000 0.5000  -0.06
Mo 0.0000 0.0000 0.0000  1.27
Te 0.0000 0.5000 0.0000  0.03
Te 0.5000 0.0000 0.0000  0.03
Ca 0.5000 0.5000 0.5000  0.03

---

#b
The following is a GGA-PBE calculation of crystalline CaSbTe2Mo at its relaxed geometry, from the Alexandria database.

Cell: 5.5960 5.5960 5.5958 Å, 90.00 90.00 90.00°
Each line ends with the local moment (μB).
Positions (direct):
Sb 0.0000 0.0000 0.5000  0.03
Mo 0.5000 0.5000 0.5000  0.05
Te 0.0000 0.5000 0.0000  -0.01
Te 0.5000 0.0000 0.0000  -0.01
Ca 0.0000 0.0000 0.0000  0.00

---

Quick ranking, most stable first: #a, #b.